Computed, not measured: a relaxed structure of P2Au at the PBE-GGA level of DFT.

Geometry as CIF:
```
data_P2Au
_chemical_formula_sum 'P4 Au2'
_cell_length_a 10.343
_cell_length_b 10.343
_cell_length_c 3.172
_cell_angle_alpha 90.00
_cell_angle_beta 90.00
_cell_angle_gamma 162.10
_space_group_name_H-M_alt 'P 1'
_space_group_IT_number 1
loop_
_space_group_symop_operation_xyz
'x,y,z'
loop_
_atom_site_label
_atom_site_type_symbol
_atom_site_fract_x
_atom_site_fract_y
_atom_site_fract_z
_atom_site_occupancy
P1 P 0.463 0.537 0.750 1
P2 P 0.537 0.463 0.250 1
P3 P 0.773 0.227 0.750 1
P4 P 0.227 0.773 0.250 1
Au1 Au 0.126 0.874 0.750 1
Au2 Au 0.874 0.126 0.250 1
```

Summary:
mass density = 8.244 g/cm3
DOS(E_F) = 0.33 states/eV per atom
energy = -4.351 eV per atom

Computed, not measured: a relaxed structure of La2ZnCoCu at the PBE-GGA level of DFT.

Geometry as CIF:
```
data_La2ZnCoCu
_chemical_formula_sum 'La2 Zn1 Co1 Cu1'
_cell_length_a 5.625
_cell_length_b 4.381
_cell_length_c 5.625
_cell_angle_alpha 90.00
_cell_angle_beta 90.00
_cell_angle_gamma 90.00
_space_group_name_H-M_alt 'P 1'
_space_group_IT_number 1
loop_
_space_group_symop_operation_xyz
'x,y,z'
loop_
_atom_site_label
_atom_site_type_symbol
_atom_site_fract_x
_atom_site_fract_y
_atom_site_fract_z
_atom_site_occupancy
Zn1 Zn 0.000 0.000 0.000 1
Co1 Co 0.500 0.500 0.500 1
Cu1 Cu 0.000 0.500 0.000 1
La1 La 0.000 0.000 0.500 1
La2 La 0.500 0.000 0.000 1
```

Summary:
mass density = 5.578 g/cm3
energy above the lowest structure with this stoichiometry = 738.1 meV/atom
DOS(E_F) = 0.92 states/eV per atom
energy = -3.932 eV per atom

Computed, not measured: a relaxed structure of LaCd3Cu at the PBE-GGA level of DFT.

Geometry as CIF:
```
data_LaCd3Cu
_chemical_formula_sum 'La1 Cd3 Cu1'
_cell_length_a 6.220
_cell_length_b 6.220
_cell_length_c 6.220
_cell_angle_alpha 90.00
_cell_angle_beta 90.00
_cell_angle_gamma 90.00
_space_group_name_H-M_alt 'P 1'
_space_group_IT_number 1
loop_
_space_group_symop_operation_xyz
'x,y,z'
loop_
_atom_site_label
_atom_site_type_symbol
_atom_site_fract_x
_atom_site_fract_y
_atom_site_fract_z
_atom_site_occupancy
Cd1 Cd 0.000 0.500 0.000 1
Cd2 Cd 0.000 0.000 0.500 1
Cd3 Cd 0.500 0.000 0.000 1
Cu1 Cu 0.500 0.500 0.500 1
La1 La 0.000 0.000 0.000 1
```

Summary:
mass density = 3.724 g/cm3
energy above the lowest structure with this stoichiometry = 1168.2 meV/atom
DOS(E_F) = 1.22 states/eV per atom
energy = -1.270 eV per atom

Computed, not measured: a relaxed structure of HfHO2 at the PBE-GGA level of DFT.

Geometry as CIF:
```
data_HfHO2
_chemical_formula_sum 'Hf1 H1 O2'
_cell_length_a 5.149
_cell_length_b 5.149
_cell_length_c 5.149
_cell_angle_alpha 35.20
_cell_angle_beta 35.20
_cell_angle_gamma 35.20
_space_group_name_H-M_alt 'P 1'
_space_group_IT_number 1
loop_
_space_group_symop_operation_xyz
'x,y,z'
loop_
_atom_site_label
_atom_site_type_symbol
_atom_site_fract_x
_atom_site_fract_y
_atom_site_fract_z
_atom_site_occupancy
H1 H 0.000 0.000 0.000 1
Hf1 Hf 0.500 0.500 0.500 1
O1 O 0.917 0.917 0.917 1
O2 O 0.083 0.083 0.083 1
```

Summary:
mass density = 8.672 g/cm3
DOS(E_F) = 0.44 states/eV per atom
energy = -7.926 eV per atom

Computed, not measured: a relaxed structure of Tb5Dy4Sc at the PBE-GGA level of DFT.

Geometry as CIF:
```
data_Tb5Dy4Sc
_chemical_formula_sum 'Tb5 Dy4 Sc1'
_cell_length_a 3.455
_cell_length_b 10.883
_cell_length_c 8.903
_cell_angle_alpha 73.28
_cell_angle_beta 101.19
_cell_angle_gamma 90.00
_space_group_name_H-M_alt 'P 1'
_space_group_IT_number 1
loop_
_space_group_symop_operation_xyz
'x,y,z'
loop_
_atom_site_label
_atom_site_type_symbol
_atom_site_fract_x
_atom_site_fract_y
_atom_site_fract_z
_atom_site_occupancy
Tb1 Tb 0.793 0.599 0.587 1
Tb2 Tb 0.894 0.286 0.789 1
Tb3 Tb 0.106 0.714 0.211 1
Tb4 Tb 0.500 0.500 0.000 1
Tb5 Tb 0.207 0.401 0.413 1
Dy1 Dy 0.304 0.082 0.608 1
Dy2 Dy 0.908 0.810 0.816 1
Dy3 Dy 0.696 0.918 0.392 1
Dy4 Dy 0.092 0.190 0.184 1
Sc1 Sc 0.500 0.000 0.000 1
```

Summary:
mass density = 7.878 g/cm3
energy above the lowest structure with this stoichiometry = 0.0 meV/atom
DOS(E_F) = 1.68 states/eV per atom
energy = -4.679 eV per atom

Computed, not measured: a relaxed structure of GaAg2Rh2 at the PBE-GGA level of DFT.

Geometry as CIF:
```
data_GaAg2Rh2
_chemical_formula_sum 'Ga2 Ag4 Rh4'
_cell_length_a 6.292
_cell_length_b 6.292
_cell_length_c 4.335
_cell_angle_alpha 90.00
_cell_angle_beta 90.00
_cell_angle_gamma 90.00
_space_group_name_H-M_alt 'P 1'
_space_group_IT_number 1
loop_
_space_group_symop_operation_xyz
'x,y,z'
loop_
_atom_site_label
_atom_site_type_symbol
_atom_site_fract_x
_atom_site_fract_y
_atom_site_fract_z
_atom_site_occupancy
Rh1 Rh 0.360 0.860 0.000 1
Rh2 Rh 0.860 0.640 0.000 1
Rh3 Rh 0.640 0.140 0.000 1
Rh4 Rh 0.140 0.360 0.000 1
Ga1 Ga 0.000 0.000 0.000 1
Ga2 Ga 0.500 0.500 0.000 1
Ag1 Ag 0.166 0.666 0.500 1
Ag2 Ag 0.666 0.834 0.500 1
Ag3 Ag 0.834 0.334 0.500 1
Ag4 Ag 0.334 0.166 0.500 1
```

Summary:
mass density = 9.507 g/cm3
DOS(E_F) = 0.80 states/eV per atom
energy = -4.667 eV per atom

Computed, not measured: a relaxed structure of KZr2Zn2 at the PBE-GGA level of DFT.

Geometry as CIF:
```
data_KZr2Zn2
_chemical_formula_sum 'K2 Zr4 Zn4'
_cell_length_a 8.861
_cell_length_b 8.861
_cell_length_c 2.884
_cell_angle_alpha 90.00
_cell_angle_beta 90.00
_cell_angle_gamma 90.00
_space_group_name_H-M_alt 'P 1'
_space_group_IT_number 1
loop_
_space_group_symop_operation_xyz
'x,y,z'
loop_
_atom_site_label
_atom_site_type_symbol
_atom_site_fract_x
_atom_site_fract_y
_atom_site_fract_z
_atom_site_occupancy
Zn1 Zn 0.169 0.669 0.500 1
Zn2 Zn 0.669 0.831 0.500 1
Zn3 Zn 0.831 0.331 0.500 1
Zn4 Zn 0.331 0.169 0.500 1
K1 K 0.000 0.000 0.000 1
K2 K 0.500 0.500 0.000 1
Zr1 Zr 0.377 0.877 0.000 1
Zr2 Zr 0.877 0.623 0.000 1
Zr3 Zr 0.623 0.123 0.000 1
Zr4 Zr 0.123 0.377 0.000 1
```

Summary:
mass density = 5.168 g/cm3
energy above the lowest structure with this stoichiometry = 0.0 meV/atom
DOS(E_F) = 0.64 states/eV per atom
energy = -3.976 eV per atom